[1]
KFeRe2 PBE optimized geometry; SG = P4/mmm; excess energy over the best structure of this formula in the dataset = 96 meV per atom; energy of formation = 0.8994 eV/atom; ρ = 11.350 g/cm³; uncorrected energy = -30.86 eV for the cell shown; size of the total moment = 0.00 Bohr magnetons per cell
1.0
-0.517 -2.604 0.175
1.265 -0.094 2.339
-8.288 1.952 4.561
Fe Re K
1 2 1
direct
0.500 0.500 0.250
0.000 0.000 0.065
0.000 0.000 0.435
0.500 0.500 0.750

=====

[2]
AlCu2Ni2 PBE optimized geometry; SG = I4/mmm; excess energy over the best structure of this formula in the dataset = 311 meV per atom; energy of formation = 0.0680 eV/atom; ρ = 6.941 g/cm³; uncorrected energy = -23.16 eV for the cell shown; size of the total moment = 0.00 Bohr magnetons per cell
1.0
-1.939 -2.424 1.073
1.627 -0.038 2.852
-3.682 5.294 0.281
Al Cu Ni
1 2 2
direct
0.000 0.000 0.000
0.750 0.250 0.500
0.250 0.750 0.500
0.403 0.403 0.805
0.597 0.597 0.195